Record 1
DFT (PBE) results for an optimized crystal structure of La3SnP.

abc: 5.5537 5.5537 5.5537
angles: 90.00 90.00 90.00
Last column: nearest neighbours and their distance in Å.
Fractional coordinates of all 5 atoms:
La (0.0000, 0.5000, 0.0000)  2 P 2.78
P (0.0000, 0.0000, 0.0000)  6 La 2.78
La (0.5000, 0.0000, 0.0000)  2 P 2.78
Sn (0.5000, 0.5000, 0.5000)  12 La 3.93
La (0.0000, 0.0000, 0.5000)  2 P 2.78

Summary:
The relative energy among the computed polymorphs is 185.1 meV per atom. The energy relative to the elements comes out at -0.821 eV/atom. The symmetry is Pm-3m.

Record 2
DFT (PBE) results for an optimized crystal structure of KYNi.

abc: 3.8612 3.8612 7.5598
angles: 90.00 90.00 120.00
Last column: nearest neighbours and their distance in Å.
Fractional coordinates of all 3 atoms:
Ni (0.3333, 0.6667, 0.3743)  3 Y 2.65
K (0.0000, 0.0000, 0.0622)  3 Ni 3.25
Y (0.6667, 0.3333, 0.5635)  3 Ni 2.65

Summary:
The relative energy among the computed polymorphs is 73.1 meV per atom. The energy relative to the elements comes out at 0.257 eV/atom. The symmetry is P3m1.

Record 3
DFT (PBE) results for an optimized crystal structure of Tb2ZnAg2.

abc: 3.4520 4.4983 7.6565
angles: 72.92 90.00 90.00
Last column: nearest neighbours and their distance in Å.
Fractional coordinates of all 5 atoms:
Tb (0.5000, 0.6162, 0.7676)  6 Ag 3.05-3.27, 4 Zn 3.31, 1 Tb 3.40
Tb (0.5000, 0.3838, 0.2324)  6 Ag 3.05-3.27, 4 Zn 3.31, 1 Tb 3.40
Zn (0.0000, 0.0000, 0.0000)  2 Ag 2.84
Ag (0.0000, 0.8060, 0.3879)  2 Ag 2.78, 1 Zn 2.84, 4 Tb 3.05
Ag (0.0000, 0.1940, 0.6121)  2 Ag 2.78, 1 Zn 2.84, 4 Tb 3.05

Summary:
The relative energy among the computed polymorphs is 28.4 meV per atom. The energy relative to the elements comes out at -0.253 eV/atom. The symmetry is Cmmm.

Record 4
DFT (PBE) results for an optimized crystal structure of CaPmGeRh.

abc: 4.3765 3.9402 5.9572
angles: 90.00 111.55 90.00
Last column: nearest neighbours and their distance in Å.
Fractional coordinates of all 4 atoms:
Ge (0.5679, 0.5000, 0.1358)  2 Rh 2.54
Rh (0.4237, 0.0000, 0.8473)  2 Ge 2.54
Pm (0.8617, 0.5000, 0.7234)  4 Rh 3.02, 3 Ge 3.16-3.26
Ca (0.1468, 0.0000, 0.2935)  3 Rh 3.07-3.30, 4 Ge 3.07

Summary:
The relative energy among the computed polymorphs is 0.0 meV per atom. The energy relative to the elements comes out at -0.687 eV/atom. The symmetry is Amm2.

Record 5
DFT (PBE) results for an optimized crystal structure of Cd3AgPt2.

abc: 3.0243 3.0243 11.9170
angles: 90.00 90.00 90.00
Last column: nearest neighbours and their distance in Å.
Fractional coordinates of all 6 atoms:
Cd (0.0000, 0.0000, 0.6780)  4 Pt 2.86, 4 Ag 3.01, 4 Cd 3.02
Pt (0.5000, 0.5000, 0.8376)  8 Cd 2.86-2.88, 4 Pt 3.02
Ag (0.5000, 0.5000, 0.5000)  8 Cd 3.01, 4 Ag 3.02
Cd (0.0000, 0.0000, 0.3220)  4 Pt 2.86, 4 Ag 3.01, 4 Cd 3.02
Cd (0.0000, 0.0000, 0.0000)  8 Pt 2.88, 4 Cd 3.02
Pt (0.5000, 0.5000, 0.1624)  8 Cd 2.86-2.88, 4 Pt 3.02

Summary:
The relative energy among the computed polymorphs is 0.0 meV per atom. The energy relative to the elements comes out at -0.232 eV/atom. The symmetry is P4/mmm.

Record 6
DFT (PBE) results for an optimized crystal structure of SrZn12Ag4.

abc: 7.7568 7.7568 7.7568
angles: 109.47 109.47 109.47
Last column: nearest neighbours and their distance in Å.
Fractional coordinates of all 17 atoms:
Zn (0.6411, 0.4938, 0.8527)  2 Zn 2.53-2.64, 2 Ag 2.61
Zn (0.7884, 0.1473, 0.6411)  2 Zn 2.53-2.64, 2 Ag 2.61
Ag (0.5000, 0.0000, 0.0000)  6 Zn 2.61
Zn (0.8527, 0.3589, 0.2116)  2 Zn 2.53-2.64, 2 Ag 2.61
Ag (0.5000, 0.5000, 0.5000)  6 Zn 2.61
Zn (0.1473, 0.6411, 0.7884)  2 Zn 2.53-2.64, 2 Ag 2.61
Ag (0.0000, 0.5000, 0.0000)  6 Zn 2.61
Zn (0.5062, 0.1473, 0.3589)  2 Zn 2.53-2.64, 2 Ag 2.61
Zn (0.3589, 0.5062, 0.1473)  2 Zn 2.53-2.64, 2 Ag 2.61
Zn (0.4938, 0.8527, 0.6411)  2 Zn 2.53-2.64, 2 Ag 2.61
Ag (0.0000, 0.0000, 0.5000)  6 Zn 2.61
Sr (0.0000, 0.0000, 0.0000)  12 Zn 3.47, 8 Ag 3.88
Zn (0.6411, 0.7884, 0.1473)  2 Zn 2.53-2.64, 2 Ag 2.61
Zn (0.8527, 0.6411, 0.4938)  2 Zn 2.53-2.64, 2 Ag 2.61
Zn (0.2116, 0.8527, 0.3589)  2 Zn 2.53-2.64, 2 Ag 2.61
Zn (0.1473, 0.3589, 0.5062)  2 Zn 2.53-2.64, 2 Ag 2.61
Zn (0.3589, 0.2116, 0.8527)  2 Zn 2.53-2.64, 2 Ag 2.61

Summary:
The energy relative to the elements comes out at 0.165 eV/atom. The symmetry is Im-3.

Record 7
DFT (PBE) results for an optimized crystal structure of Nd3AgHg2.

abc: 5.3842 5.3842 13.2036
angles: 90.00 90.00 120.00
Last column: nearest neighbours and their distance in Å.
Fractional coordinates of all 12 atoms:
Nd (0.0000, 0.0000, 0.7480)  5 Hg 3.27-3.33, 3 Ag 3.30
Hg (0.0000, 0.0000, 0.0000)  8 Nd 3.31-3.33
Nd (0.6667, 0.3333, 0.5833)  4 Ag 3.28-3.29, 4 Hg 3.30
Ag (0.6667, 0.3333, 0.3350)  8 Nd 3.28-3.30
Hg (0.0000, 0.0000, 0.5000)  8 Nd 3.27-3.30
Nd (0.0000, 0.0000, 0.2520)  5 Hg 3.27-3.33, 3 Ag 3.30
Nd (0.3333, 0.6667, 0.4167)  4 Ag 3.28-3.29, 4 Hg 3.30
Hg (0.3333, 0.6667, 0.1669)  8 Nd 3.29-3.34
Nd (0.6667, 0.3333, 0.0858)  7 Hg 3.29-3.34, 1 Ag 3.29
Hg (0.6667, 0.3333, 0.8331)  8 Nd 3.29-3.34
Nd (0.3333, 0.6667, 0.9142)  7 Hg 3.29-3.34, 1 Ag 3.29
Ag (0.3333, 0.6667, 0.6650)  8 Nd 3.28-3.30

Summary:
The relative energy among the computed polymorphs is 0.0 meV per atom. The energy relative to the elements comes out at -0.403 eV/atom. The symmetry is P-3m1.

Record 8
DFT (PBE) results for an optimized crystal structure of MnCuCl.

abc: 4.3484 4.3484 4.3484
angles: 60.00 60.00 60.00
Last column: nearest neighbours and their distance in Å.
Fractional coordinates of all 3 atoms:
Cl (0.5000, 0.5000, 0.5000)  4 Cu 2.66
Cu (0.7500, 0.7500, 0.7500)  4 Mn 2.66, 4 Cl 2.66
Mn (0.0000, 0.0000, 0.0000)  4 Cu 2.66

Summary:
The calculation puts the formation energy without anion corrections at 0.5636 eV per atom. The relative energy among the computed polymorphs is 552.2 meV per atom. The symmetry is F-43m.

Record 9
DFT (PBE) results for an optimized crystal structure of Dy2Ni9Pd.

abc: 4.9151 4.9151 8.4337
angles: 73.06 73.06 60.00
Last column: nearest neighbours and their distance in Å.
Fractional coordinates of all 12 atoms:
Ni (0.6669, 0.6669, 0.9992)  6 Ni 2.40-2.41
Ni (0.9197, 0.4180, 0.2444)  7 Ni 2.40-2.48
Dy (0.1328, 0.1328, 0.6016)  9 Ni 2.75-2.95
Ni (0.4180, 0.4180, 0.2444)  7 Ni 2.40-2.48
Ni (0.4180, 0.9197, 0.2444)  7 Ni 2.40-2.48
Ni (0.0803, 0.5820, 0.7556)  7 Ni 2.40-2.48
Pd (0.0000, 0.0000, 0.0000)  18 Ni 2.84-3.13, 2 Dy 3.16
Ni (0.5000, 0.5000, 0.5000)  6 Ni 2.48
Ni (0.3331, 0.3331, 0.0008)  6 Ni 2.40-2.41
Dy (0.8672, 0.8672, 0.3984)  9 Ni 2.75-2.95
Ni (0.5820, 0.5820, 0.7556)  7 Ni 2.40-2.48
Ni (0.5820, 0.0803, 0.7556)  7 Ni 2.40-2.48

Summary:
The energy relative to the elements comes out at -0.205 eV/atom. The symmetry is R-3m.

Record 10
DFT (PBE) results for an optimized crystal structure of CuAsCl2.

abc: 3.1911 3.1911 8.0328
angles: 90.00 90.00 90.00
Last column: nearest neighbours and their distance in Å.
Fractional coordinates of all 4 atoms:
Cl (0.0000, 0.0000, 0.9299)  4 As 2.92, 4 Cl 3.19
Cl (0.5000, 0.5000, 0.3513)  4 Cu 2.63, 1 As 2.79
Cu (0.0000, 0.0000, 0.5198)  4 Cl 2.63, 4 As 2.68
As (0.5000, 0.5000, 0.6991)  4 Cu 2.68, 5 Cl 2.79-2.92

Summary:
The calculation puts the formation energy without anion corrections at 0.0106 eV per atom. The relative energy among the computed polymorphs is 361.8 meV per atom. The symmetry is P4mm.

Number 6 is which compound?
SrZn12Ag4